1.
ZrTlSbI2: PBEsol geometry, meta-GGA SCAN.

Calculated values
Magnetization: 1.25 μB/cell
Total DFT energy (no corrections): -42.01 eV per atom

Geometry as CIF:
```
data_ZrTlSbI2
_symmetry_space_group_name_H-M 'P 1'
_symmetry_Int_Tables_number 1
_symmetry_space_group_name_Hall 'P 1'
_cell_length_a 5.7554
_cell_length_b 5.7554
_cell_length_c 5.5971
_cell_angle_alpha 90.00
_cell_angle_beta 90.00
_cell_angle_gamma 90.00
loop_
_atom_site_label
_atom_site_type_symbol
_atom_site_fract_x
_atom_site_fract_y
_atom_site_fract_z
Zr1 Zr 0.0000 0.0000 0.0000
Tl1 Tl 0.5000 0.5000 0.5000
Sb1 Sb 0.5000 0.5000 0.0000
I1 I 0.0000 0.5000 0.5000
I2 I 0.5000 0.0000 0.5000
```

---

2.
SbW2I2: PBEsol geometry, meta-GGA SCAN.

Calculated values
Magnetization: 7.09 μB/cell
Total DFT energy (no corrections): -47.71 eV per atom

Geometry as CIF:
```
data_SbW2I2
_symmetry_space_group_name_H-M 'P 1'
_symmetry_Int_Tables_number 1
_symmetry_space_group_name_Hall 'P 1'
_cell_length_a 5.2570
_cell_length_b 5.2570
_cell_length_c 5.7294
_cell_angle_alpha 90.00
_cell_angle_beta 90.00
_cell_angle_gamma 90.00
loop_
_atom_site_label
_atom_site_type_symbol
_atom_site_fract_x
_atom_site_fract_y
_atom_site_fract_z
Sb1 Sb 0.0000 0.0000 0.0000
W1 W 0.0000 0.5000 0.0000
W2 W 0.5000 0.0000 0.0000
I1 I 0.0000 0.0000 0.5000
I2 I 0.5000 0.5000 0.5000
```

---

3.
YSbWI2: PBEsol geometry, meta-GGA SCAN.

Calculated values
Magnetization: 3.00 μB/cell
Total DFT energy (no corrections): -41.02 eV per atom

Geometry as CIF:
```
data_YSbWI2
_symmetry_space_group_name_H-M 'P 1'
_symmetry_Int_Tables_number 1
_symmetry_space_group_name_Hall 'P 1'
_cell_length_a 5.3554
_cell_length_b 5.3554
_cell_length_c 5.2860
_cell_angle_alpha 90.00
_cell_angle_beta 90.00
_cell_angle_gamma 90.00
loop_
_atom_site_label
_atom_site_type_symbol
_atom_site_fract_x
_atom_site_fract_y
_atom_site_fract_z
Y1 Y 0.0000 0.0000 0.0000
Sb1 Sb 0.5000 0.5000 0.0000
W1 W 0.5000 0.5000 0.5000
I1 I 0.0000 0.5000 0.5000
I2 I 0.5000 0.0000 0.5000
```

---

4.
YSb2WI: PBEsol geometry, meta-GGA SCAN.

Calculated values
Magnetization: 4.01 μB/cell
Total DFT energy (no corrections): -40.43 eV per atom

Geometry as CIF:
```
data_YSb2WI
_symmetry_space_group_name_H-M 'P 1'
_symmetry_Int_Tables_number 1
_symmetry_space_group_name_Hall 'P 1'
_cell_length_a 5.7204
_cell_length_b 5.7204
_cell_length_c 5.5843
_cell_angle_alpha 90.00
_cell_angle_beta 90.00
_cell_angle_gamma 90.00
loop_
_atom_site_label
_atom_site_type_symbol
_atom_site_fract_x
_atom_site_fract_y
_atom_site_fract_z
Y1 Y 0.0000 0.0000 0.0000
Sb1 Sb 0.0000 0.5000 0.0000
Sb2 Sb 0.5000 0.0000 0.0000
W1 W 0.5000 0.5000 0.5000
I1 I 0.0000 0.0000 0.5000
```

---

Q: Number 3 is which compound?
A: YSbWI2